Li2CaMg10 | PBE-GGA | optimized geometry

Cell: 5.7224 7.9012 7.8565 Å, 82.42 68.64 68.77°
Sites, in units of the cell vectors:
Mg 0.9945 0.3580 0.6530
Li 0.0000 0.5000 0.0000
Mg 0.5000 0.0000 0.5000
Li 0.5000 0.5000 0.0000
Ca 0.0000 0.0000 0.0000
Mg 0.6475 0.3580 0.3470
Mg 0.2842 0.2217 0.2100
Mg 0.5058 0.7783 0.2100
Mg 0.3525 0.6420 0.6530
Mg 0.0000 0.0000 0.5000
Mg 0.4942 0.2217 0.7900
Mg 0.0055 0.6420 0.3470
Mg 0.7158 0.7783 0.7900

As for the calculated density: 1.60 g/cm3. The formation energy comes out at -0.03 eV/atom. Its density of states at the Fermi level is 6.45 states/eV/cell.